DFT (PBE) results for a relaxed structure of PuUSe3.

a = 7.726 Å, b = 4.089 Å, c = 15.697 Å
α = 90.00°, β = 90.00°, γ = 90.00°
Space group Pnma (No. 62)
Asymmetric unit:
Pu 0.110 0.250 0.210 [4 per cell]
U 0.240 0.750 0.459 [4 per cell]
Se 0.005 0.250 0.397 [4 per cell]
Se 0.124 0.750 0.069 [4 per cell]
Se 0.167 0.250 0.780 [4 per cell]

Summary:
Total moment in μB/atom: 1.598
Formation energy without anion corrections in eV/atom: -1.37
D(E_F) in states/eV per cell: 51.44
DFT total energy in eV per atom: -8.584

=====

DFT (PBE) results for a relaxed structure of La3Re2.

a = 4.1618 Å, b = 4.1618 Å, c = 31.7120 Å
α = 90.00°, β = 90.00°, γ = 120.00°
Space group R-3m (No. 166, hexagonal axes)
Asymmetric unit:
La 0.0000 0.0000 0.0000 [3 per cell]
La 0.0000 0.0000 0.4317 [6 per cell]
Re 0.0000 0.0000 0.1753 [6 per cell]

Summary:
Total moment in μB/atom: 0.000
D(E_F) in states/eV per cell: 18.15
Formation energy from the elements in meV/atom: 153
DFT total energy in eV per atom: -7.783

=====

DFT (PBE) results for a relaxed structure of PrMgAl2Au2.

a = 4.4729 Å, b = 4.4729 Å, c = 7.2245 Å
α = 90.00°, β = 90.00°, γ = 120.00°
Space group P-3m1 (No. 164)
Asymmetric unit:
Pr 0.0000 0.0000 0.0000 [1 per cell]
Mg 0.0000 0.0000 0.5000 [1 per cell]
Al 0.3333 0.6667 0.7035 [2 per cell]
Au 0.3333 0.6667 0.2976 [2 per cell]

Summary:
Total moment in μB/atom: 0.000
D(E_F) in states/eV per cell: 2.36
Formation energy from the elements in meV/atom: -645
DFT total energy in eV per atom: -4.047

=====

DFT (PBE) results for a relaxed structure of Li2CoNi2.

a = 6.584 Å, b = 6.584 Å, c = 2.519 Å
α = 90.00°, β = 90.00°, γ = 90.00°
Space group P4/mbm (No. 127)
Asymmetric unit:
Li 0.116 0.384 0.000 [4 per cell]
Co 0.000 0.000 0.000 [2 per cell]
Ni 0.188 0.688 0.500 [4 per cell]

Summary:
Total moment in μB/atom: 0.384
D(E_F) in states/eV per cell: 8.47
Formation energy from the elements in meV/atom: 268
DFT total energy in eV per atom: -4.231

=====

DFT (PBE) results for a relaxed structure of AsPH.

a = 5.522 Å, b = 4.476 Å, c = 4.873 Å
α = 90.00°, β = 94.43°, γ = 90.00°
Space group Cm (No. 8)
Asymmetric unit:
As 0.000 0.000 0.000 [2 per cell]
P 0.110 0.500 0.166 [2 per cell]
H 0.139 0.500 0.461 [2 per cell]

Summary:
Total moment in μB/atom: 0.000
D(E_F) in states/eV per cell: 0.58
DFT total energy in eV per atom: -4.301

=====

DFT (PBE) results for a relaxed structure of ZrBe8Nb3.

a = 4.7006 Å, b = 4.7006 Å, c = 7.5144 Å
α = 90.00°, β = 90.00°, γ = 120.00°
Space group P3m1 (No. 156)
Asymmetric unit:
Zr 0.0000 0.0000 0.0000 [1 per cell]
Be 0.1617 0.3234 0.6766 [3 per cell]
Be 0.3333 0.6667 0.4315 [1 per cell]
Be 0.3333 0.6667 0.9307 [1 per cell]
Be 0.5058 0.0117 0.1896 [3 per cell]
Nb 0.0000 0.0000 0.3672 [1 per cell]
Nb 0.6667 0.3333 0.5004 [1 per cell]
Nb 0.6667 0.3333 0.8628 [1 per cell]

Summary:
Total moment in μB/atom: 0.000
D(E_F) in states/eV per cell: 7.84
Formation energy from the elements in meV/atom: -163
DFT total energy in eV per atom: -5.877

=====

DFT (PBE) results for a relaxed structure of Tm4TlPbSe2.

a = 6.713 Å, b = 3.912 Å, c = 8.197 Å
α = 90.00°, β = 106.27°, γ = 90.00°
Space group P2/m (No. 10)
Asymmetric unit:
Tm 0.237 0.000 0.217 [2 per cell]
Tm 0.257 0.500 0.783 [2 per cell]
Tl 0.000 0.000 0.500 [1 per cell]
Pb 0.500 0.500 0.500 [1 per cell]
Se 0.000 0.500 0.000 [1 per cell]
Se 0.500 0.000 0.000 [1 per cell]

Summary:
Total moment in μB/atom: 0.000
Formation energy without anion corrections in eV/atom: -1.01
D(E_F) in states/eV per cell: 2.81
DFT total energy in eV per atom: -4.875

=====

DFT (PBE) results for a relaxed structure of Zr2WSe.

a = 4.729 Å, b = 4.729 Å, c = 3.438 Å
α = 90.00°, β = 90.00°, γ = 90.00°
Space group P4/mmm (No. 123)
Asymmetric unit:
Zr 0.000 0.500 0.000 [2 per cell]
W 0.000 0.000 0.500 [1 per cell]
Se 0.500 0.500 0.500 [1 per cell]

Summary:
Total moment in μB/atom: 0.000
Formation energy without anion corrections in eV/atom: -0.20
D(E_F) in states/eV per cell: 2.76
DFT total energy in eV per atom: -8.587

=====

DFT (PBE) results for a relaxed structure of MgScAl2.

a = 4.184 Å, b = 4.184 Å, c = 8.906 Å
α = 90.00°, β = 90.00°, γ = 90.00°
Space group I-4m2 (No. 119)
Asymmetric unit:
Mg 0.000 0.000 0.000 [2 per cell]
Sc 0.000 0.500 0.750 [2 per cell]
Al 0.000 0.000 0.500 [2 per cell]
Al 0.000 0.500 0.250 [2 per cell]

Summary:
Total moment in μB/atom: 0.000
D(E_F) in states/eV per cell: 5.69
Formation energy from the elements in meV/atom: -194
DFT total energy in eV per atom: -4.047

=====

DFT (PBE) results for a relaxed structure of Sc2SeBr.

a = 3.9822 Å, b = 3.9822 Å, c = 19.6823 Å
α = 90.00°, β = 90.00°, γ = 120.00°
Space group R-3m (No. 166, hexagonal axes)
Asymmetric unit:
Sc 0.0000 0.0000 0.2295 [6 per cell]
Se 0.0000 0.0000 0.5000 [3 per cell]
Br 0.0000 0.0000 0.0000 [3 per cell]

Summary:
Total moment in μB/atom: 0.000
Formation energy without anion corrections in eV/atom: -1.19
D(E_F) in states/eV per cell: 8.96
DFT total energy in eV per atom: -5.648

=====

DFT (PBE) results for a relaxed structure of RbSiOs2.

a = 4.933 Å, b = 4.933 Å, c = 16.662 Å
α = 90.00°, β = 90.00°, γ = 90.00°
Space group I-42d (No. 122)
Asymmetric unit:
Rb 0.000 0.000 0.000 [4 per cell]
Si 0.000 0.000 0.500 [4 per cell]
Os 0.020 0.750 0.625 [8 per cell]

Summary:
Total moment in μB/atom: 0.000
Formation energy without anion corrections in eV/atom: 1.01
D(E_F) in states/eV per cell: 16.05
DFT total energy in eV per atom: -6.204

=====

DFT (PBE) results for a relaxed structure of Na3In9Ga2.

a = 4.868 Å, b = 11.585 Å, c = 13.104 Å
α = 90.00°, β = 90.00°, γ = 90.00°
Space group Immm (No. 71)
Asymmetric unit:
Na 0.000 0.000 0.000 [2 per cell]
Na 0.000 0.000 0.291 [4 per cell]
In 0.000 0.285 0.148 [8 per cell]
In 0.000 0.372 0.369 [8 per cell]
In 0.000 0.500 0.000 [2 per cell]
Ga 0.000 0.163 0.500 [4 per cell]

Summary:
Total moment in μB/atom: 0.000
D(E_F) in states/eV per cell: 9.57
Formation energy from the elements in meV/atom: -72
DFT total energy in eV per atom: -2.548

=====

no.,V (Å³/cell)
1,496
2,476
3,125
4,109
5,120
6,144
7,207
8,77
9,156
10,270
11,405
12,739